This record from Alexandria via LeMat-Bulk describes a relaxed CuNiN crystal. The functional is PBE-GGA.

Cell lengths 3.9376, 3.9376, 3.8587 Å; angles 90.00, 90.00, 90.00 degrees
Positions (direct):
N: 0.5000 0.0000 0.4997
N: 0.0000 0.5000 0.5003
Cu: 0.0000 0.5000 0.0003
Cu: 0.5000 0.0000 0.9997
Ni: 0.0000 0.0000 0.5000
Ni: 0.5000 0.5000 0.5000

- Uncorrected formation energy: 0.310 eV/atom
- Fermi-level density of states: 1.87 states/eV/f.u.
- Offset from the most stable computed form: 11 meV per atom